Record 1
The following is a PBE-GGA calculation of a relaxed Rb2Cd4BiSb3 crystal, from the Alexandria database. Values from VASP.

Calculated values
The density of states at the Fermi level comes out at 0.21 states/eV per atom. For the size of the total moment, the calculation gives 0.00 μB per formula unit. As for the space group: P-4m2 (115). The formation energy (no corrections) comes out at -265 meV/atom. Its final energy is -24.5 eV per cell.

Structure (Quantum ESPRESSO input):
```
&SYSTEM
  ibrav = 0, nat = 10, ntyp = 4
/
ATOMIC_SPECIES
Rb 85.47 Rb.upf
Cd 112.41 Cd.upf
Bi 208.98 Bi.upf
Sb 121.76 Sb.upf
ATOMIC_POSITIONS crystal
Rb 0.000 0.500 0.248
Rb 0.500 0.000 0.752
Cd 0.000 0.000 0.000
Cd 0.000 0.500 0.632
Cd 0.500 0.000 0.368
Cd 0.500 0.500 0.000
Bi 0.000 0.000 0.500
Sb 0.000 0.500 0.874
Sb 0.500 0.000 0.126
Sb 0.500 0.500 0.500
CELL_PARAMETERS angstrom
5.224 0.000 0.000
0.000 5.224 0.000
0.000 0.000 11.884
```

***

Record 2
The following is a PBE-GGA calculation of a relaxed CsBaPb4 crystal, from the Alexandria database. Values from VASP.

Calculated values
The density of states at the Fermi level comes out at 1.14 states/eV per atom. For the size of the total moment, the calculation gives 0.00 μB per formula unit. As for the space group: F-43m (216). Its final energy is -19.3 eV per cell. Its formation enthalpy at 0 K is -280 meV/atom.

Structure (Quantum ESPRESSO input):
```
&SYSTEM
  ibrav = 0, nat = 6, ntyp = 3
/
ATOMIC_SPECIES
Cs 132.91 Cs.upf
Ba 137.33 Ba.upf
Pb 207.20 Pb.upf
ATOMIC_POSITIONS crystal
Cs 0.000 0.000 0.000
Ba 0.750 0.750 0.750
Pb 0.377 0.377 0.377
Pb 0.377 0.377 0.870
Pb 0.377 0.870 0.377
Pb 0.870 0.377 0.377
CELL_PARAMETERS angstrom
0.000 4.835 4.835
4.835 0.000 4.835
4.835 4.835 0.000
```

***

Q: Which of these has the highest final energy?
A: CsBaPb4